1.
# CdFeNi2

A PBEsol-optimized structure of CdFeNi2 (SCAN, the Alexandria database).

## Properties
The formation energy is 0.081 eV per atom. The total energy comes out at -20.142 eV/atom. As for the total moment: 1.0383 μB per atom.

Cell lengths 4.4074, 4.4074, 4.4074 Å; angles 128.76, 128.76, 75.39 degrees
Atoms (fractional coordinates):
Cd 0.0000 0.0000 0.0000
Fe 0.5000 0.5000 0.0000
Ni 0.2500 0.7500 0.5000
Ni 0.7500 0.2500 0.5000


2.
# Cd2FeNi

A PBEsol-optimized structure of Cd2FeNi (SCAN, the Alexandria database).

## Properties
The formation energy is 0.285 eV per atom. The total energy comes out at -23.498 eV/atom. As for the total moment: 0.8286 μB per atom. The value obtained for the energy relative to the lowest polymorph listed for this composition is 26.0 meV/atom.

Cell lengths 4.7194, 4.7194, 4.8753 Å; angles 100.43, 100.43, 34.72 degrees
Atoms (fractional coordinates):
Cd 0.2463 0.2463 0.2462
Cd 0.7537 0.7537 0.7538
Fe 0.0000 0.0000 0.5000
Ni 0.5000 0.5000 0.0000


3.
# CdFeNi2

A PBEsol-optimized structure of CdFeNi2 (SCAN, the Alexandria database).

## Properties
The formation energy is 0.136 eV per atom. The total energy comes out at -20.086 eV/atom. As for the total moment: 1.0114 μB per atom.

Cell lengths 4.4222, 4.4222, 2.6869 Å; angles 90.00, 90.00, 104.32 degrees
Atoms (fractional coordinates):
Cd 0.0000 0.0000 0.0000
Fe 0.5000 0.5000 0.0000
Ni 0.0000 0.5000 0.5000
Ni 0.5000 0.0000 0.5000


4.
# CdFeNi2

A PBEsol-optimized structure of CdFeNi2 (SCAN, the Alexandria database).

## Properties
The formation energy is 0.163 eV per atom. The total energy comes out at -20.060 eV/atom. As for the total moment: 1.0291 μB per atom.

Cell lengths 4.9810, 4.9810, 4.9810 Å; angles 147.14, 129.69, 61.41 degrees
Atoms (fractional coordinates):
Cd 0.0000 0.0000 0.0000
Fe 0.2701 0.7701 0.5000
Ni 0.4990 0.4990 0.0000
Ni 0.7365 0.2365 0.5000


5.
# CdFeNiRh2

A PBEsol-optimized structure of CdFeNiRh2 (SCAN, the Alexandria database).

## Properties
The formation energy is 1.966 eV per atom. The total energy comes out at -24.486 eV/atom. As for the total moment: 1.1766 μB per atom.

Cell lengths 4.7573, 4.7573, 4.5754 Å; angles 90.00, 90.00, 90.00 degrees
Atoms (fractional coordinates):
Cd 0.0000 0.0000 0.0000
Fe 0.0000 0.0000 0.5000
Ni 0.5000 0.5000 0.5000
Rh 0.0000 0.5000 0.0000
Rh 0.5000 0.0000 0.0000


6.
# Cd3FeO

A PBEsol-optimized structure of Cd3FeO (SCAN, the Alexandria database).

## Properties
The total energy comes out at -22.299 eV/atom. For the energy relative to the elements, uncorrected, the calculation gives 822.1 meV/atom. As for the total moment: 0.8341 μB per atom.

Cell lengths 4.9424, 4.9424, 4.9424 Å; angles 90.00, 90.00, 90.00 degrees
Atoms (fractional coordinates):
Cd 0.0000 0.0000 0.5000
Cd 0.0000 0.5000 0.0000
Cd 0.5000 0.0000 0.0000
Fe 0.0000 0.0000 0.0000
O 0.5000 0.5000 0.5000


7.
# CdFeO2

A PBEsol-optimized structure of CdFeO2 (SCAN, the Alexandria database).

## Properties
The total energy comes out at -16.435 eV/atom. For the energy relative to the elements, uncorrected, the calculation gives -1183.4 meV/atom. As for the total moment: 1.0782 μB per atom.

Cell lengths 5.8587, 5.8587, 5.8587 Å; angles 131.18, 131.18, 71.53 degrees
Atoms (fractional coordinates):
Cd 0.0000 0.0000 0.0000
Cd 0.7500 0.2500 0.5000
Fe 0.2500 0.7500 0.5000
Fe 0.5000 0.5000 0.0000
O 0.1766 0.6250 0.0516
O 0.3750 0.4266 0.5516
O 0.5734 0.1250 0.9484
O 0.8750 0.8234 0.4484


8.
# CdFePO2

A PBEsol-optimized structure of CdFePO2 (SCAN, the Alexandria database).

## Properties
The total energy comes out at -13.637 eV/atom. For the energy relative to the elements, uncorrected, the calculation gives 644.3 meV/atom. As for the total moment: 0.9952 μB per atom. The value obtained for the energy relative to the lowest polymorph listed for this composition is 1219.8 meV/atom.

Cell lengths 3.9534, 3.9534, 5.1180 Å; angles 90.00, 90.00, 90.00 degrees
Atoms (fractional coordinates):
Cd 0.0000 0.0000 0.0000
Fe 0.5000 0.5000 0.5000
P 0.0000 0.0000 0.5000
O 0.0000 0.5000 0.0000
O 0.5000 0.0000 0.0000


9.
# CdFePO2

A PBEsol-optimized structure of CdFePO2 (SCAN, the Alexandria database).

## Properties
The total energy comes out at -14.857 eV/atom. For the energy relative to the elements, uncorrected, the calculation gives -575.5 meV/atom. As for the total moment: 0.6066 μB per atom. The value obtained for the energy relative to the lowest polymorph listed for this composition is 0.0 meV/atom.

Cell lengths 3.6488, 3.6488, 4.8290 Å; angles 90.00, 90.00, 90.00 degrees
Atoms (fractional coordinates):
Cd 0.0000 0.0000 0.0000
Fe 0.5000 0.5000 0.5000
P 0.5000 0.5000 0.0000
O 0.0000 0.5000 0.5000
O 0.5000 0.0000 0.5000


10.
# CdFe2Sb2P6O24

A PBEsol-optimized structure of CdFe2Sb2P6O24 (SCAN, the Alexandria database).

## Properties
The total energy comes out at -12.213 eV/atom. For the energy relative to the elements, uncorrected, the calculation gives -2123.8 meV/atom. As for the total moment: 0.2857 μB per atom.

Cell lengths 8.7960, 8.7960, 8.7960 Å; angles 56.77, 56.77, 56.77 degrees
Atoms (fractional coordinates):
Cd 0.0000 0.0000 0.0000
Fe 0.1475 0.1475 0.1475
Fe 0.8525 0.8525 0.8525
Sb 0.3535 0.3535 0.3535
Sb 0.6465 0.6465 0.6465
P 0.0373 0.7553 0.4555
P 0.2447 0.5445 0.9627
P 0.4555 0.0373 0.7553
P 0.5445 0.9627 0.2447
P 0.7553 0.4555 0.0373
P 0.9627 0.2447 0.5445
O 0.0053 0.8076 0.6109
O 0.1111 0.7535 0.8878
O 0.1122 0.8889 0.2465
O 0.1591 0.2250 0.5288
O 0.1833 0.5410 0.4890
O 0.1924 0.3891 0.9947
O 0.2250 0.5288 0.1591
O 0.2465 0.1122 0.8889
O 0.3891 0.9947 0.1924
O 0.4590 0.5110 0.8167
O 0.4712 0.8409 0.7750
O 0.4890 0.1833 0.5410
O 0.5110 0.8167 0.4590
O 0.5288 0.1591 0.2250
O 0.5410 0.4890 0.1833
O 0.6109 0.0053 0.8076
O 0.7535 0.8878 0.1111
O 0.7750 0.4712 0.8409
O 0.8076 0.6109 0.0053
O 0.8167 0.4590 0.5110
O 0.8409 0.7750 0.4712
O 0.8878 0.1111 0.7535
O 0.8889 0.2465 0.1122
O 0.9947 0.1924 0.3891


11.
# CdFeSnP3O12

A PBEsol-optimized structure of CdFeSnP3O12 (SCAN, the Alexandria database).

## Properties
The total energy comes out at -12.751 eV/atom. For the energy relative to the elements, uncorrected, the calculation gives -2171.0 meV/atom. As for the total moment: 0.2774 μB per atom.

Cell lengths 8.7865, 8.7865, 8.7865 Å; angles 59.09, 59.09, 59.09 degrees
Atoms (fractional coordinates):
Cd 0.0000 0.0000 0.0000
Cd 0.5000 0.5000 0.5000
Fe 0.1448 0.1448 0.1448
Fe 0.6448 0.6448 0.6448
Sn 0.3513 0.3513 0.3513
Sn 0.8513 0.8513 0.8513
P 0.0389 0.7484 0.4518
P 0.2484 0.5389 0.9518
P 0.4518 0.0389 0.7484
P 0.5389 0.9518 0.2484
P 0.7484 0.4518 0.0389
P 0.9518 0.2484 0.5389
O 0.0141 0.7974 0.6097
O 0.0557 0.9150 0.2646
O 0.0829 0.7332 0.9327
O 0.1097 0.2974 0.5141
O 0.1884 0.3816 0.9970
O 0.2332 0.5829 0.4327
O 0.2646 0.0557 0.9150
O 0.2974 0.5141 0.1097
O 0.3816 0.9970 0.1884
O 0.4150 0.5557 0.7646
O 0.4327 0.2332 0.5829
O 0.4970 0.8816 0.6884
O 0.5141 0.1097 0.2974
O 0.5557 0.7646 0.4150
O 0.5829 0.4327 0.2332
O 0.6097 0.0141 0.7974
O 0.6884 0.4970 0.8816
O 0.7332 0.9327 0.0829
O 0.7646 0.4150 0.5557
O 0.7974 0.6097 0.0141
O 0.8816 0.6884 0.4970
O 0.9150 0.2646 0.0557
O 0.9327 0.0829 0.7332
O 0.9970 0.1884 0.3816


12.
# CdFe2Os

A PBEsol-optimized structure of CdFe2Os (SCAN, the Alexandria database).

## Properties
The formation energy is 0.293 eV per atom. The total energy comes out at -34.345 eV/atom. As for the total moment: 1.2160 μB per atom.

Cell lengths 2.7002, 2.7002, 7.4975 Å; angles 90.00, 90.00, 90.00 degrees
Atoms (fractional coordinates):
Cd 0.0000 0.0000 0.0000
Fe 0.0000 0.0000 0.4970
Fe 0.5000 0.5000 0.2761
Os 0.5000 0.5000 0.7020


13.
# CdFeOs2

A PBEsol-optimized structure of CdFeOs2 (SCAN, the Alexandria database).

## Properties
The formation energy is 0.349 eV per atom. The total energy comes out at -47.727 eV/atom. As for the total moment: 0.7609 μB per atom. The value obtained for the energy relative to the lowest polymorph listed for this composition is 0.0 meV/atom.

Cell lengths 2.7520, 3.8029, 5.6096 Å; angles 90.00, 90.00, 90.00 degrees
Atoms (fractional coordinates):
Cd 0.0000 0.0000 0.0000
Fe 0.5000 0.5000 0.2583
Os 0.0000 0.0000 0.4968
Os 0.5000 0.5000 0.6980


14.
# CdFeOs2

A PBEsol-optimized structure of CdFeOs2 (SCAN, the Alexandria database).

## Properties
The formation energy is 0.576 eV per atom. The total energy comes out at -47.500 eV/atom. As for the total moment: 0.8672 μB per atom. The value obtained for the energy relative to the lowest polymorph listed for this composition is 227.2 meV/atom.

Cell lengths 4.6722, 4.6722, 4.6722 Å; angles 130.69, 130.69, 72.31 degrees
Atoms (fractional coordinates):
Cd 0.0000 0.0000 0.0000
Fe 0.7500 0.2500 0.5000
Os 0.2500 0.7500 0.5000
Os 0.5000 0.5000 0.0000


15.
# CdFeP2

A PBEsol-optimized structure of CdFeP2 (SCAN, the Alexandria database).

## Properties
The formation energy is 0.425 eV per atom. The total energy comes out at -16.911 eV/atom. As for the total moment: 0.6182 μB per atom.

Cell lengths 4.7005, 4.7005, 4.7005 Å; angles 135.62, 117.75, 79.62 degrees
Atoms (fractional coordinates):
Cd 0.0000 0.0000 0.0000
Fe 0.5000 0.5000 0.0000
P 0.3142 0.8142 0.5000
P 0.6858 0.1858 0.5000


16.
# CdFe3P

A PBEsol-optimized structure of CdFe3P (SCAN, the Alexandria database).

## Properties
The formation energy is 0.208 eV per atom. The total energy comes out at -18.832 eV/atom. As for the total moment: 1.2403 μB per atom.

Cell lengths 4.1334, 4.1334, 4.1334 Å; angles 90.00, 90.00, 90.00 degrees
Atoms (fractional coordinates):
Cd 0.0000 0.0000 0.0000
Fe 0.0000 0.5000 0.5000
Fe 0.5000 0.0000 0.5000
Fe 0.5000 0.5000 0.0000
P 0.5000 0.5000 0.5000


17.
# CdFeP2

A PBEsol-optimized structure of CdFeP2 (SCAN, the Alexandria database).

## Properties
The formation energy is 0.109 eV per atom. The total energy comes out at -17.226 eV/atom. As for the total moment: 0.2589 μB per atom.

Cell lengths 2.7769, 2.7769, 7.9619 Å; angles 90.00, 90.00, 90.00 degrees
Atoms (fractional coordinates):
Cd 0.0000 0.0000 0.0000
Fe 0.0000 0.0000 0.5000
P 0.5000 0.5000 0.3339
P 0.5000 0.5000 0.6661


18.
# Cd2FePb

A PBEsol-optimized structure of Cd2FePb (SCAN, the Alexandria database).

## Properties
The formation energy is 0.292 eV per atom. The total energy comes out at -38.393 eV/atom. As for the total moment: 0.6767 μB per atom.

Cell lengths 6.4103, 6.4103, 6.4103 Å; angles 152.79, 137.98, 50.78 degrees
Atoms (fractional coordinates):
Cd 0.2019 0.2019 0.0000
Cd 0.7981 0.7981 0.0000
Fe 0.0000 0.5000 0.5000
Pb 0.5000 0.0000 0.5000


19.
# Cd2FePb

A PBEsol-optimized structure of Cd2FePb (SCAN, the Alexandria database).

## Properties
The formation energy is 0.235 eV per atom. The total energy comes out at -38.450 eV/atom. As for the total moment: 0.6389 μB per atom.

Cell lengths 6.9784, 6.9784, 6.9784 Å; angles 155.60, 142.22, 45.49 degrees
Atoms (fractional coordinates):
Cd 0.0000 0.0000 0.0000
Cd 0.6657 0.1657 0.5000
Fe 0.1774 0.6774 0.5000
Pb 0.3608 0.3608 0.0000


20.
# CdFePb3

A PBEsol-optimized structure of CdFePb3 (SCAN, the Alexandria database).

## Properties
The formation energy is 1.057 eV per atom. The total energy comes out at -54.120 eV/atom. As for the total moment: 0.6595 μB per atom.

Cell lengths 5.4881, 5.4881, 5.4881 Å; angles 90.00, 90.00, 90.00 degrees
Atoms (fractional coordinates):
Cd 0.0000 0.0000 0.0000
Fe 0.5000 0.5000 0.5000
Pb 0.0000 0.0000 0.5000
Pb 0.0000 0.5000 0.0000
Pb 0.5000 0.0000 0.0000